Entry 1:
Computed, not measured: a relaxed structure of Pr2CdAs4Pd3 at the PBE-GGA level of DFT.

Lattice parameters (Å, degrees): 4.340 4.340 10.959 90.00 90.00 90.00
Space group P-4m2 (No. 115)
Inequivalent atoms, fractional coordinates:
Pr1 0.000 0.500 0.242
Cd1 0.000 0.000 0.500
As1 0.000 0.000 0.000
As2 0.000 0.500 0.649
As3 0.500 0.500 0.000
Pd1 0.000 0.500 0.874
Pd2 0.500 0.500 0.500

## Properties
Size of the total moment: 0.0000 μB per atom
DOS at the Fermi energy: 5.46 states/eV/f.u.
E_form: -0.753 eV/atom


Entry 2:
Computed, not measured: a relaxed structure of Pu2CdAs4Pd3 at the PBE-GGA level of DFT.

Lattice parameters (Å, degrees): 4.424 4.424 10.389 90.00 90.00 90.00
Space group P-4m2 (No. 115)
Inequivalent atoms, fractional coordinates:
Pu1 0.000 0.500 0.229
Cd1 0.000 0.000 0.500
As1 0.000 0.000 0.000
As2 0.000 0.500 0.650
As3 0.500 0.500 0.000
Pd1 0.000 0.500 0.884
Pd2 0.500 0.500 0.500

## Properties
Size of the total moment: 1.1117 μB per atom
DOS at the Fermi energy: 29.82 states/eV/f.u.
E_form: -0.532 eV/atom


Entry 3:
Computed, not measured: a relaxed structure of CdAs2PdSe at the PBE-GGA level of DFT.

Lattice parameters (Å, degrees): 4.836 4.836 5.229 90.00 90.00 90.00
Space group P4/mmm (No. 123)
Inequivalent atoms, fractional coordinates:
Cd1 0.000 0.000 0.000
As1 0.000 0.500 0.500
Pd1 0.500 0.500 0.500
Se1 0.500 0.500 0.000

## Properties
Size of the total moment: 0.1662 μB per atom
DOS at the Fermi energy: 4.17 states/eV/f.u.
Formation energy without anion corrections: 0.41 eV per atom
ΔE to the lowest computed polymorph: 0.0 meV/atom


Entry 4:
Computed, not measured: a relaxed structure of CdSn2AsPd at the PBE-GGA level of DFT.

Lattice parameters (Å, degrees): 7.620 4.420 7.565 90.00 110.08 90.00
Space group Cm (No. 8)
Inequivalent atoms, fractional coordinates:
Cd1 0.000 0.000 0.000
Sn1 0.063 0.500 0.691
Sn2 0.308 0.500 0.411
As1 0.398 0.000 0.191
Pd1 0.274 0.000 0.823

## Properties
Size of the total moment: 0.0000 μB per atom
DOS at the Fermi energy: 2.25 states/eV/f.u.
ΔE to the lowest computed polymorph: 57.8 meV/atom
E_form: -0.132 eV/atom


Entry 5:
Computed, not measured: a relaxed structure of CdSn2AsPd at the PBE-GGA level of DFT.

Lattice parameters (Å, degrees): 6.111 3.150 6.780 90.00 116.03 90.00
Space group Pm (No. 6)
Inequivalent atoms, fractional coordinates:
Cd1 0.000 0.000 0.000
Sn1 0.309 0.000 0.532
Sn2 0.486 0.000 0.018
As1 0.764 0.000 0.547
Pd1 0.888 0.500 0.303

## Properties
Size of the total moment: 0.0000 μB per atom
DOS at the Fermi energy: 1.87 states/eV/f.u.
ΔE to the lowest computed polymorph: 44.5 meV/atom
E_form: -0.146 eV/atom


Entry 6:
Computed, not measured: a relaxed structure of CdSn2AsPd at the PBE-GGA level of DFT.

Lattice parameters (Å, degrees): 3.167 6.138 6.276 96.01 103.84 90.24
Space group P1 (No. 1)
Inequivalent atoms, fractional coordinates:
Cd1 0.000 0.000 0.000
Sn1 0.256 0.952 0.535
Sn2 0.764 0.406 0.532
As1 0.987 0.444 0.983
Pd1 0.601 0.697 0.216

## Properties
Size of the total moment: 0.0000 μB per atom
DOS at the Fermi energy: 1.63 states/eV/f.u.
ΔE to the lowest computed polymorph: 59.9 meV/atom
E_form: -0.130 eV/atom


Entry 7:
Computed, not measured: a relaxed structure of CdSn2AsPd at the PBE-GGA level of DFT.

Lattice parameters (Å, degrees): 3.150 3.560 10.315 90.00 98.78 90.00
Space group Pm (No. 6)
Inequivalent atoms, fractional coordinates:
Cd1 0.000 0.000 0.000
Sn1 0.702 0.000 0.396
Sn2 0.867 0.000 0.720
As1 0.582 0.500 0.165
Pd1 0.290 0.500 0.568

## Properties
Size of the total moment: 0.0000 μB per atom
DOS at the Fermi energy: 1.71 states/eV/f.u.
ΔE to the lowest computed polymorph: 67.5 meV/atom
E_form: -0.123 eV/atom


Entry 8:
Computed, not measured: a relaxed structure of CdSn2AsPd at the PBE-GGA level of DFT.

Lattice parameters (Å, degrees): 7.735 4.485 8.004 90.00 90.58 90.00
Space group Cm (No. 8)
Inequivalent atoms, fractional coordinates:
Cd1 0.000 0.000 0.000
Sn1 0.164 0.500 0.387
Sn2 0.499 0.500 0.623
As1 0.167 0.500 0.059
Pd1 0.331 0.000 0.504

## Properties
Size of the total moment: 0.0000 μB per atom
DOS at the Fermi energy: 1.29 states/eV/f.u.
ΔE to the lowest computed polymorph: 26.0 meV/atom
E_form: -0.164 eV/atom


Entry 9:
Computed, not measured: a relaxed structure of CdSn2AsPd at the PBE-GGA level of DFT.

Lattice parameters (Å, degrees): 4.134 4.973 6.712 84.10 72.13 65.57
Space group P1 (No. 1)
Inequivalent atoms, fractional coordinates:
Cd1 0.000 0.000 0.000
Sn1 0.308 0.982 0.403
Sn2 0.886 0.552 0.680
As1 0.257 0.409 0.078
Pd1 0.577 0.146 0.701

## Properties
Size of the total moment: 0.0000 μB per atom
DOS at the Fermi energy: 1.51 states/eV/f.u.
ΔE to the lowest computed polymorph: 66.9 meV/atom
E_form: -0.123 eV/atom


Entry 10:
Computed, not measured: a relaxed structure of CdSn2AsPd at the PBE-GGA level of DFT.

Lattice parameters (Å, degrees): 4.447 4.515 7.339 84.77 72.88 60.52
Space group P1 (No. 1)
Inequivalent atoms, fractional coordinates:
Cd1 0.000 0.000 0.000
Sn1 0.653 0.240 0.446
Sn2 0.833 0.601 0.732
As1 0.570 0.708 0.153
Pd1 0.241 0.924 0.588

## Properties
Size of the total moment: 0.0000 μB per atom
DOS at the Fermi energy: 1.88 states/eV/f.u.
ΔE to the lowest computed polymorph: 16.5 meV/atom
E_form: -0.174 eV/atom


Entry 11:
Computed, not measured: a relaxed structure of CdSn2AsPd at the PBE-GGA level of DFT.

Lattice parameters (Å, degrees): 6.078 3.194 6.082 90.00 91.08 90.00
Space group Pm (No. 6)
Inequivalent atoms, fractional coordinates:
Cd1 0.000 0.000 0.000
Sn1 0.021 0.000 0.521
Sn2 0.478 0.000 0.971
As1 0.481 0.000 0.512
Pd1 0.723 0.500 0.272

## Properties
Size of the total moment: 0.0000 μB per atom
DOS at the Fermi energy: 2.77 states/eV/f.u.
ΔE to the lowest computed polymorph: 65.1 meV/atom
E_form: -0.125 eV/atom


Entry 12:
Computed, not measured: a relaxed structure of CdSn2AsPd at the PBE-GGA level of DFT.

Lattice parameters (Å, degrees): 4.393 4.480 6.094 90.00 90.68 90.00
Space group Pm (No. 6)
Inequivalent atoms, fractional coordinates:
Cd1 0.000 0.000 0.000
Sn1 0.160 0.000 0.541
Sn2 0.522 0.500 0.993
As1 0.556 0.500 0.522
Pd1 0.030 0.500 0.278

## Properties
Size of the total moment: 0.0000 μB per atom
DOS at the Fermi energy: 1.99 states/eV/f.u.
ΔE to the lowest computed polymorph: 30.6 meV/atom
E_form: -0.159 eV/atom